## HfTlNO (PBE)

Data for HfTlNO after structural relaxation.

a b c (Å): 3.422 6.392 6.962
angles (deg): 90.00 90.00 90.00
Fractional positions:
Tl1 0.000 0.520 0.331
Tl2 0.000 0.020 0.669
N1 0.000 0.476 0.679
O1 0.500 0.261 0.018
N2 0.000 0.976 0.321
Hf1 0.500 0.497 0.837
O2 0.500 0.761 0.982
Hf2 0.500 0.997 0.163

Calculated values
VASP energy (eV/f.u.): -31.42
Polymorph energy (0 for the lowest one) (meV/atom): 138
Spin magnetization (μB/f.u.): 0.00



## HfTlNO (PBE)

Data for HfTlNO after structural relaxation.

a b c (Å): 4.144 4.144 7.687
angles (deg): 90.00 90.00 90.00
Fractional positions:
Hf1 0.500 0.500 0.500
N1 0.000 0.500 0.573
O1 0.000 0.000 0.000
N2 0.500 0.000 0.427
Tl1 0.000 0.500 0.139
O2 0.500 0.500 0.000
Tl2 0.500 0.000 0.861
Hf2 0.000 0.000 0.500

Calculated values
VASP energy (eV/f.u.): -28.90
Polymorph energy (0 for the lowest one) (meV/atom): 769
Spin magnetization (μB/f.u.): 0.00



## HfTlNO (PBE)

Data for HfTlNO after structural relaxation.

a b c (Å): 5.761 5.770 8.138
angles (deg): 90.00 90.00 90.00
Fractional positions:
Tl1 0.988 0.500 0.363
N1 0.238 0.750 0.002
Hf1 0.488 0.498 0.088
O1 0.989 0.011 0.324
Hf2 0.488 0.998 0.912
N2 0.738 0.750 0.002
Tl2 0.988 0.000 0.637
N3 0.738 0.250 0.998
Tl3 0.488 0.000 0.363
O2 0.489 0.489 0.324
Hf3 0.988 0.502 0.912
O3 0.489 0.989 0.676
Tl4 0.488 0.500 0.637
N4 0.238 0.250 0.998
O4 0.989 0.511 0.676
Hf4 0.988 0.002 0.088

Calculated values
VASP energy (eV/f.u.): -31.97
Polymorph energy (0 for the lowest one) (meV/atom): 0
Spin magnetization (μB/f.u.): 0.00



## TmHfNO (PBE)

Data for TmHfNO after structural relaxation.

a b c (Å): 3.819 4.604 6.570
angles (deg): 90.00 90.00 90.00
Fractional positions:
N1 0.000 0.939 0.353
Hf1 0.000 0.439 0.330
O1 0.500 0.938 0.801
N2 0.000 0.439 0.647
Tm1 0.500 0.938 0.157
Hf2 0.000 0.939 0.670
O2 0.500 0.438 0.199
Tm2 0.500 0.438 0.843

Calculated values
VASP energy (eV/f.u.): -36.12
Polymorph energy (0 for the lowest one) (meV/atom): 60
Spin magnetization (μB/f.u.): 0.00